Below is a geometry-optimized CaAg2H2 structure, with properties calculated at the PBE level.

Lattice parameters (Å, degrees): 3.950 3.950 5.376 68.45 68.45 90.00
Sites, in units of the cell vectors:
1 H 0.750 0.250 0.500
2 H 0.250 0.750 0.500
3 Ca 0.000 0.000 0.000
4 Ag 0.345 0.345 0.309
5 Ag 0.655 0.655 0.691

Results
- Space-group type: I4/mmm (139)
- Raw total energy: -0.1068 hartree per atom
- Crystal system: tetragonal
- M_tot: 0.00 μB/cell

=====

Below is a geometry-optimized UCrPt structure, with properties calculated at the PBE level.

Lattice parameters (Å, degrees): 3.830 6.504 4.754 71.26 90.16 74.93
Sites, in units of the cell vectors:
1 Cr 0.263 0.921 0.690
2 Cr 0.737 0.079 0.310
3 Pt 0.890 0.639 0.673
4 Pt 0.110 0.361 0.327
5 U 0.598 0.242 0.849
6 U 0.402 0.758 0.151

Results
- Space-group type: P-1 (2)
- Crystal system: triclinic
- ΔE_f: -0.60 eV/f.u.
- M_tot: 0.00 μB/cell

=====

Below is a geometry-optimized PtRh2Au structure, with properties calculated at the PBE level.

Lattice parameters (Å, degrees): 2.806 2.806 7.871 90.00 90.00 90.00
Sites, in units of the cell vectors:
1 Rh 0.000 0.000 0.987
2 Rh 0.000 0.000 0.513
3 Au 0.500 0.500 0.250
4 Pt 0.500 0.500 0.750

Results
- Space-group type: P4/mmm (123)
- Crystal system: tetragonal
- ΔE_f: 0.32 eV/f.u.
- M_tot: 0.00 μB/cell

=====

Below is a geometry-optimized Y4HgSe2 structure, with properties calculated at the PBE level.

Lattice parameters (Å, degrees): 4.079 6.915 13.994 90.00 90.00 107.15
Sites, in units of the cell vectors:
1 Y 0.773 0.546 0.123
2 Y 0.773 0.546 0.377
3 Y 0.227 0.454 0.877
4 Y 0.227 0.454 0.623
5 Y 0.938 0.875 0.750
6 Y 0.062 0.125 0.250
7 Y 0.500 0.000 0.000
8 Y 0.500 0.000 0.500
9 Hg 0.610 0.221 0.750
10 Hg 0.390 0.779 0.250
11 Se 0.137 0.274 0.440
12 Se 0.863 0.726 0.940
13 Se 0.137 0.274 0.060
14 Se 0.863 0.726 0.560

Results
- Space-group type: Cmcm (63)
- Crystal system: orthorhombic
- Uncorrected formation energy: -1.1820 eV per atom
- M_tot: 0.00 μB/cell

=====

Below is a geometry-optimized Ho8P3CS3 structure, with properties calculated at the PBE level.

Lattice parameters (Å, degrees): 7.800 7.800 7.802 119.99 90.00 120.00
Sites, in units of the cell vectors:
1 Ho 0.247 0.495 0.242
2 Ho 0.753 0.505 0.758
3 Ho 0.770 0.540 0.267
4 Ho 0.230 0.460 0.733
5 Ho 0.770 0.997 0.267
6 Ho 0.230 0.003 0.733
7 Ho 0.227 0.997 0.267
8 Ho 0.773 0.003 0.733
9 P 0.000 0.000 0.000
10 P 0.000 0.500 0.000
11 P 0.500 0.500 0.000
12 C 0.000 0.000 0.500
13 S 0.500 0.000 0.500
14 S 0.500 0.500 0.500
15 S 0.000 0.500 0.500

Results
- Space-group type: R-3m (166)
- Crystal system: trigonal
- Uncorrected formation energy: -1.5359 eV per atom
- M_tot: 0.00 μB/cell

=====

Below is a geometry-optimized Tb3AlTl structure, with properties calculated at the PBE level.

Lattice parameters (Å, degrees): 5.176 8.103 8.103 119.98 90.00 90.00
Sites, in units of the cell vectors:
1 Tb 0.250 0.809 0.191
2 Tb 0.750 0.191 0.809
3 Tb 0.250 0.809 0.618
4 Tb 0.750 0.191 0.382
5 Tb 0.250 0.382 0.191
6 Tb 0.750 0.618 0.809
7 Al 0.000 0.000 0.000
8 Al 0.500 0.000 0.000
9 Tl 0.250 0.333 0.667
10 Tl 0.750 0.667 0.333

Results
- Space-group type: P6_3/mmc (194)
- Crystal system: hexagonal
- ΔE_f: -0.56 eV/f.u.
- M_tot: 0.01 μB/cell

=====

Below is a geometry-optimized VNi6Pd2 structure, with properties calculated at the PBE level.

Lattice parameters (Å, degrees): 5.682 4.809 4.809 59.97 89.83 89.83
Each line ends with the local moment (μB).
Sites, in units of the cell vectors:
1 V 0.000 0.000 0.000  -0.20
2 Ni 0.329 0.341 0.829  0.39
3 Ni 0.330 0.829 0.829  0.39
4 Ni 0.329 0.829 0.341  0.39
5 Ni 0.671 0.659 0.171  0.39
6 Ni 0.670 0.171 0.171  0.39
7 Ni 0.671 0.171 0.659  0.39
8 Pd 0.914 0.667 0.667  0.07
9 Pd 0.086 0.333 0.333  0.07

Results
- Space-group type: C2/m (12)
- Crystal system: monoclinic
- ΔE_f: 0.36 eV/f.u.
- M_tot: 2.19 μB/cell

=====

Please write out number 6 again, unchanged.
Below is a geometry-optimized Tb3AlTl structure, with properties calculated at the PBE level.

Lattice parameters (Å, degrees): 5.176 8.103 8.103 119.98 90.00 90.00
Sites, in units of the cell vectors:
1 Tb 0.250 0.809 0.191
2 Tb 0.750 0.191 0.809
3 Tb 0.250 0.809 0.618
4 Tb 0.750 0.191 0.382
5 Tb 0.250 0.382 0.191
6 Tb 0.750 0.618 0.809
7 Al 0.000 0.000 0.000
8 Al 0.500 0.000 0.000
9 Tl 0.250 0.333 0.667
10 Tl 0.750 0.667 0.333

Results
- Space-group type: P6_3/mmc (194)
- Crystal system: hexagonal
- ΔE_f: -0.56 eV/f.u.
- M_tot: 0.01 μB/cell